Model one:
Sm2PuP3 after structural relaxation. Source: Alexandria, functional PBE.

abc: 5.7427 8.1545 7.0332
angles: 106.85 114.10 90.00
Closest atoms and distances in Å follow each position.
Positions (direct):
P  0.5000  0.2500  0.0000  2 Pu 2.87, 4 Sm 2.88
P  0.1596  0.5798  0.3193  2 Pu 2.82, 4 Sm 2.87-2.93
P  0.8404  0.9202  0.6807  2 Pu 2.82, 4 Sm 2.87-2.93
P  0.1596  0.0798  0.3193  2 Pu 2.82, 4 Sm 2.87-2.93
P  0.5000  0.7500  0.0000  2 Pu 2.87, 4 Sm 2.88
P  0.8404  0.4202  0.6807  2 Pu 2.82, 4 Sm 2.87-2.93
Sm  0.6676  0.5838  0.3352  6 P 2.87-2.93
Sm  0.3324  0.4162  0.6648  6 P 2.87-2.93
Sm  0.3324  0.9162  0.6648  6 P 2.87-2.93
Sm  0.6676  0.0838  0.3352  6 P 2.87-2.93
Pu  0.0000  0.7500  0.0000  6 P 2.82-2.87
Pu  0.0000  0.2500  0.0000  6 P 2.82-2.87

N(E_F)   11.00 states/eV/f.u.
Crystal system   orthorhombic

Model two:
Sm2PuP3 after structural relaxation. Source: Alexandria, functional PBE.

abc: 4.0713 4.0713 9.0911
angles: 102.94 102.94 90.00
Closest atoms and distances in Å follow each position.
Positions (direct):
P  0.9341  0.9359  0.8740  4 Pu 2.88, 2 Sm 2.89
P  0.2704  0.2717  0.5462  1 Pu 2.83, 5 Sm 2.88-2.91
P  0.5982  0.5995  0.2017  1 Pu 2.83, 5 Sm 2.88-2.91
Sm  0.1019  0.1032  0.2091  6 P 2.88-2.91
Sm  0.7667  0.7680  0.5388  6 P 2.88-2.91
Pu  0.4341  0.4358  0.8740  6 P 2.83-2.88

N(E_F)   11.09 states/eV/f.u.
Crystal system   tetragonal

The structure with the most favorable energy is model one; the runner-up is 6 meV per atom above it.

Model one:
PuSnP2 after structural relaxation. Source: Alexandria, functional PBE.

abc: 4.0301 4.0301 7.0125
angles: 73.30 73.30 60.00
Closest atoms and distances in Å follow each position.
Positions (direct):
P  0.2435  0.2435  0.2695  3 Pu 2.78, 3 Sn 2.93
P  0.7565  0.7565  0.7305  3 Pu 2.78, 3 Sn 2.93
Pu  0.5000  0.5000  0.5000  6 P 2.78
Sn  0.0000  0.0000  0.0000  6 P 2.93

N(E_F)   10.36 states/eV/f.u.
Crystal system   trigonal

Model two:
PuSnP2 after structural relaxation. Source: Alexandria, functional PBE.

abc: 4.1382 4.1382 6.6810
angles: 71.96 71.96 60.00
Closest atoms and distances in Å follow each position.
Positions (direct):
P  0.2653  0.2653  0.2040  3 Pu 2.69
P  0.0778  0.0778  0.7666  3 Pu 2.81, 3 Sn 2.83
Pu  0.6650  0.6650  0.0049  6 P 2.69-2.81
Sn  0.4918  0.4918  0.5245  6 P 2.83-3.12

N(E_F)   8.52 states/eV/f.u.
Crystal system   trigonal

Model three:
PuSnP2 after structural relaxation. Source: Alexandria, functional PBE.

abc: 3.6709 4.5907 4.5907
angles: 90.00 90.00 90.00
Closest atoms and distances in Å follow each position.
Positions (direct):
P  0.0000  0.5000  0.0000  4 Sn 2.94, 4 Pu 2.94, 4 P 3.25
P  0.0000  0.0000  0.5000  4 Sn 2.94, 4 Pu 2.94, 4 P 3.25
Pu  0.5000  0.0000  0.0000  8 P 2.94, 4 Sn 3.25
Sn  0.5000  0.5000  0.5000  8 P 2.94, 4 Pu 3.25

N(E_F)   7.04 states/eV/f.u.
Crystal system   tetragonal

The structure with the most favorable energy is model three; the runner-up is 22 meV per atom above it.

Model one:
SrPuP2 after structural relaxation. Source: Alexandria, functional PBE.

abc: 4.1162 4.1162 7.4496
angles: 73.96 73.96 60.00
Closest atoms and distances in Å follow each position.
Positions (direct):
P  0.2643  0.2643  0.2070  3 Pu 2.81
P  0.0703  0.0703  0.7890  3 Pu 2.79, 3 Sr 3.09
Sr  0.4972  0.4972  0.5085  6 P 3.09-3.19
Pu  0.6682  0.6682  0.9954  6 P 2.79-2.81

N(E_F)   11.22 states/eV/f.u.
Crystal system   trigonal

Model two:
SrPuP2 after structural relaxation. Source: Alexandria, functional PBE.

abc: 4.1546 4.1546 7.2558
angles: 90.00 106.64 120.00
Closest atoms and distances in Å follow each position.
Positions (direct):
P  0.4726  0.7363  0.2089  3 Pu 2.79, 3 Sr 3.12
P  0.5274  0.2637  0.7911  3 Pu 2.79, 3 Sr 3.12
Sr  0.0000  0.5000  0.5000  6 P 3.12
Pu  0.0000  0.0000  0.0000  6 P 2.79

N(E_F)   11.32 states/eV/f.u.
Crystal system   trigonal

The structure with the most favorable energy is model two; the runner-up is 82 meV per atom above it.

Model one:
TbPuP2 after structural relaxation. Source: Alexandria, functional PBE.

abc: 4.0182 4.0182 6.9046
angles: 73.08 73.08 60.00
Closest atoms and distances in Å follow each position.
Positions (direct):
Pu  0.5000  0.5000  0.5000  6 P 2.81
P  0.2476  0.2476  0.2571  3 Pu 2.81, 3 Tb 2.86
P  0.7524  0.7524  0.7429  3 Pu 2.81, 3 Tb 2.86
Tb  0.0000  0.0000  0.0000  6 P 2.86

N(E_F)   8.92 states/eV/f.u.
Crystal system   trigonal

Model two:
TbPuP2 after structural relaxation. Source: Alexandria, functional PBE.

abc: 3.9880 3.9880 7.1212
angles: 73.74 73.74 60.00
Closest atoms and distances in Å follow each position.
Positions (direct):
Tb  0.4973  0.4973  0.5082  6 P 2.86-2.92
Pu  0.6694  0.6694  0.9917  6 P 2.78-2.85
P  0.2531  0.2531  0.2406  3 Pu 2.85, 3 Tb 2.92
P  0.0802  0.0802  0.7594  3 Pu 2.78, 3 Tb 2.86

N(E_F)   8.82 states/eV/f.u.
Crystal system   trigonal

The structure with the most favorable energy is model one; the runner-up is 165 meV per atom above it.